Below is a relaxed structure of MgMn2Cl2O2, with properties calculated at the PBE with a Hubbard U level.

The space group is I4/mmm (No. 139) and the conventional cell measures 3.854, 3.854 and 15.589 Å, with angles of 90.00, 90.00 and 90.00 degrees. Symmetry generates all atoms from Mg at (0.000, 0.000, 0.000), Mn at (0.000, 0.000, 0.411), Cl at (0.000, 0.000, 0.168) and O at (0.000, 0.500, 0.000).

As for the volume: 16.54 A^3/atom. The magnetization is 10.00 μB/f.u. Its final energy is -5.82 eV/atom.